Record 1
Material: Sr2TmHg6
Method: DFT, PBE
State: optimized geometry

Cell and atoms, written as extended XYZ:
```
9
Lattice="6.8724 0.0000 0.0000 -3.4362 5.9517 0.0000 0.0000 0.0000 6.3726" Properties=species:S:1:pos:R:3 pbc="T T T"
Sr 0.0000 3.9678 2.1845
Sr 3.4362 1.9839 4.1881
Tm 0.0000 0.0000 3.1863
Hg 0.0000 2.1577 5.2468
Hg -1.5676 4.8728 5.2468
Hg 1.8686 1.0788 1.1258
Hg 1.5676 4.8728 5.2468
Hg 5.0038 1.0788 1.1258
Hg 3.4362 3.7940 1.1258
```

## Properties
Calculated total energy   -1.46 eV/atom
Energy relative to the elements   -3.46 eV/f.u.
Crystal system   trigonal
M_tot   0.0000 μB per atom

***

Record 2
Material: SrTm2Hg9
Method: DFT, PBE
State: optimized geometry

Cell and atoms, written as extended XYZ:
```
12
Lattice="4.7326 0.0000 0.0000 0.0000 4.7326 0.0000 0.0000 0.0000 13.6303" Properties=species:S:1:pos:R:3 pbc="T T T"
Sr 0.0000 0.0000 0.0000
Tm 0.0000 0.0000 4.6836
Tm 0.0000 0.0000 8.9468
Hg 0.0000 2.3663 2.4932
Hg 0.0000 2.3663 6.8152
Hg 0.0000 2.3663 11.1371
Hg 2.3663 0.0000 2.4932
Hg 2.3663 0.0000 6.8152
Hg 2.3663 0.0000 11.1371
Hg 2.3663 2.3663 0.0000
Hg 2.3663 2.3663 4.6987
Hg 2.3663 2.3663 8.9317
```

## Properties
Calculated total energy   -1.42 eV/atom
Energy relative to the elements   -3.70 eV/f.u.
Crystal system   tetragonal
M_tot   0.0000 μB per atom

***

Record 3
Material: SrTm4Hg5
Method: DFT, PBE
State: optimized geometry

Cell and atoms, written as extended XYZ:
```
10
Lattice="3.7200 0.0000 0.0000 0.0000 3.7200 0.0000 0.0000 0.0000 18.7979" Properties=species:S:1:pos:R:3 pbc="T T T"
Sr 0.0000 0.0000 0.0000
Tm 0.0000 0.0000 3.9505
Tm 0.0000 0.0000 7.5860
Tm 0.0000 0.0000 11.2119
Tm 0.0000 0.0000 14.8474
Hg 1.8600 1.8600 2.2469
Hg 1.8600 1.8600 5.7672
Hg 1.8600 1.8600 9.3989
Hg 1.8600 1.8600 13.0307
Hg 1.8600 1.8600 16.5510
```

## Properties
Calculated total energy   -2.59 eV/atom
Energy relative to the elements   -4.87 eV/f.u.
Crystal system   tetragonal
M_tot   0.0000 μB per atom

***

Record 4
Material: SrTmHg3
Method: DFT, PBE
State: optimized geometry

Cell and atoms, written as extended XYZ:
```
10
Lattice="1.9005 -14.7460 0.0000 1.9005 14.7460 0.0000 0.0000 0.0000 4.9310" Properties=species:S:1:pos:R:3 pbc="T T T"
Sr 1.9005 12.4263 3.6983
Sr 1.9005 -12.4263 1.2328
Tm 1.9005 8.5470 1.2328
Tm 1.9005 -8.5470 3.6983
Hg 1.9005 5.5378 1.2328
Hg 1.9005 3.7381 3.6983
Hg 1.9005 0.7820 3.6983
Hg 1.9005 -0.7820 1.2328
Hg 1.9005 -3.7381 1.2328
Hg 1.9005 -5.5378 3.6983
```

## Properties
Calculated total energy   -1.86 eV/atom
Energy relative to the elements   -2.25 eV/f.u.
Crystal system   orthorhombic
M_tot   0.0000 μB per atom

***

Record 5
Material: Sr2TmHg4
Method: DFT, PBE
State: optimized geometry

Cell and atoms, written as extended XYZ:
```
7
Lattice="-2.7348 2.7348 7.1879 2.7348 -2.7348 7.1879 2.7348 2.7348 -7.1879" Properties=species:S:1:pos:R:3 pbc="T T T"
Sr 0.0000 0.0000 3.3812
Sr 0.0000 0.0000 10.9947
Tm 0.0000 0.0000 7.1879
Hg 2.7348 0.0000 1.5328
Hg 2.7348 0.0000 5.6551
Hg 0.0000 2.7348 1.5328
Hg 0.0000 2.7348 5.6551
```

## Properties
Calculated total energy   -1.67 eV/atom
Energy relative to the elements   -2.61 eV/f.u.
Crystal system   tetragonal
M_tot   0.0000 μB per atom

***

Record 6
Material: SrTm2Hg
Method: DFT, PBE
State: optimized geometry

Cell and atoms, written as extended XYZ:
```
4
Lattice="1.8437 1.0645 11.5180 -1.8437 1.0645 11.5180 0.0000 -2.1289 11.5180" Properties=species:S:1:pos:R:3 pbc="T T T"
Sr 0.0000 0.0000 0.0000
Tm 0.0000 0.0000 3.5245
Tm 0.0000 0.0000 31.0295
Hg 0.0000 0.0000 17.2770
```

## Properties
Calculated total energy   -2.64 eV/atom
Energy relative to the elements   0.37 eV/f.u.
Crystal system   trigonal
M_tot   0.0012 μB per atom

***

Record 7
Material: Sr3TmHg12
Method: DFT, PBE
State: optimized geometry

Cell and atoms, written as extended XYZ:
```
16
Lattice="4.8080 0.0000 0.0000 0.0000 4.8080 0.0000 0.0000 0.0000 18.9994" Properties=species:S:1:pos:R:3 pbc="T T T"
Sr 0.0000 0.0000 0.0000
Sr 0.0000 0.0000 4.9058
Sr 0.0000 0.0000 14.0936
Tm 0.0000 0.0000 9.4997
Hg 0.0000 2.4040 2.4551
Hg 0.0000 2.4040 7.3739
Hg 0.0000 2.4040 11.6255
Hg 0.0000 2.4040 16.5443
Hg 2.4040 0.0000 2.4551
Hg 2.4040 0.0000 7.3739
Hg 2.4040 0.0000 11.6255
Hg 2.4040 0.0000 16.5443
Hg 2.4040 2.4040 0.0000
Hg 2.4040 2.4040 4.9800
Hg 2.4040 2.4040 9.4997
Hg 2.4040 2.4040 14.0194
```

## Properties
Calculated total energy   -1.17 eV/atom
Energy relative to the elements   -5.64 eV/f.u.
Crystal system   tetragonal
M_tot   0.0000 μB per atom

***

Record 8
Material: SrTm5Hg6
Method: DFT, PBE
State: optimized geometry

Cell and atoms, written as extended XYZ:
```
12
Lattice="5.2540 0.0000 0.0000 0.0000 7.4271 0.0000 -2.6011 0.0000 7.9244" Properties=species:S:1:pos:R:3 pbc="T T T"
Sr 0.0000 0.0000 0.0000
Tm 0.0000 3.7136 0.0000
Tm 0.0191 0.0000 5.2464
Tm 0.0177 3.7136 5.3446
Tm 2.6352 3.7136 2.5798
Tm 2.6338 0.0000 2.6780
Hg 0.0082 1.9406 2.7306
Hg 0.0082 5.4865 2.7306
Hg 2.6270 1.9693 0.0000
Hg 2.6270 5.4578 0.0000
Hg 2.6447 1.9406 5.1938
Hg 2.6447 5.4865 5.1938
```

## Properties
Calculated total energy   -2.62 eV/atom
Energy relative to the elements   -5.57 eV/f.u.
Crystal system   monoclinic
M_tot   0.0000 μB per atom

***

Record 9
Material: SrTm2Hg6
Method: DFT, PBE
State: optimized geometry

Cell and atoms, written as extended XYZ:
```
9
Lattice="-1.8517 4.1964 7.5187 1.8517 -4.1964 7.5187 1.8517 4.1964 -7.5187" Properties=species:S:1:pos:R:3 pbc="T T T"
Sr 0.0000 0.0000 0.0000
Tm 1.8517 0.0000 5.3353
Tm 0.0000 4.1964 2.1834
Hg 1.8517 1.4917 -2.6425
Hg 1.8517 2.7636 0.0000
Hg 1.8517 1.4917 2.6425
Hg 0.0000 2.7047 4.8762
Hg 0.0000 1.4328 7.5187
Hg 0.0000 2.7047 10.1612
```

## Properties
Calculated total energy   -1.75 eV/atom
Energy relative to the elements   -3.33 eV/f.u.
Crystal system   orthorhombic
M_tot   0.0000 μB per atom

***

Record 10
Material: SrVHg3
Method: DFT, PBE
State: optimized geometry

Cell and atoms, written as extended XYZ:
```
5
Lattice="5.2950 0.0000 0.0000 0.0000 5.2950 0.0000 0.0000 0.0000 5.2950" Properties=species:S:1:pos:R:3 pbc="T T T"
Sr 0.0000 0.0000 0.0000
V 2.6475 2.6475 2.6475
Hg 0.0000 2.6475 2.6475
Hg 2.6475 0.0000 2.6475
Hg 2.6475 2.6475 0.0000
```

## Properties
Excess energy over the best structure of this formula in the dataset   0 meV/atom
Calculated total energy   -2.26 eV/atom
Energy relative to the elements   0.39 eV/f.u.
Crystal system   cubic
M_tot   0.6356 μB per atom

***

Record 11
Material: SrVHg3
Method: DFT, PBE
State: optimized geometry

Cell and atoms, written as extended XYZ:
```
5
Lattice="6.0330 0.0000 0.0000 0.0000 6.0330 0.0000 0.0000 0.0000 6.0330" Properties=species:S:1:pos:R:3 pbc="T T T"
Sr 0.0000 0.0000 0.0000
V 3.0165 3.0165 3.0165
Hg 0.0000 0.0000 3.0165
Hg 0.0000 3.0165 0.0000
Hg 3.0165 0.0000 0.0000
```

## Properties
Excess energy over the best structure of this formula in the dataset   878 meV/atom
Calculated total energy   -1.38 eV/atom
Energy relative to the elements   4.78 eV/f.u.
Crystal system   cubic
M_tot   0.8164 μB per atom